<1>
Material: Li4AlTl
Method: DFT, PBE-GGA
State: relaxed

For the density, the calculation gives 4.13 g cm⁻³. As for the density of states at the Fermi level: 0.461 states/eV/atom.

Cell and atoms, written as CIF:
```
data_Li4AlTl
_cell_length_a 4.6293
_cell_length_b 4.6293
_cell_length_c 5.6080
_cell_angle_alpha 90.00
_cell_angle_beta 90.00
_cell_angle_gamma 120.00
_space_group_name_H-M_alt 'P 6/m m m'
_space_group_IT_number 191
_space_group_name_Hall '-P 6 2'
loop_
_atom_site_label
_atom_site_type_symbol
_atom_site_fract_x
_atom_site_fract_y
_atom_site_fract_z
Li1 Li 0.3333 0.6667 0.2418
Al1 Al 0.0000 0.0000 0.0000
Tl1 Tl 0.0000 0.0000 0.5000
```


<2>
Material: Li4AlTl
Method: DFT, PBE-GGA
State: relaxed

For the density, the calculation gives 3.98 g cm⁻³. As for the density of states at the Fermi level: 0.501 states/eV/atom.

Cell and atoms, written as CIF:
```
data_Li4AlTl
_cell_length_a 7.563
_cell_length_b 7.563
_cell_length_c 7.563
_cell_angle_alpha 90.00
_cell_angle_beta 90.00
_cell_angle_gamma 90.00
_space_group_name_H-M_alt 'F -4 3 m'
_space_group_IT_number 216
_space_group_name_Hall 'F -4 2 3'
loop_
_atom_site_label
_atom_site_type_symbol
_atom_site_fract_x
_atom_site_fract_y
_atom_site_fract_z
Li1 Li 0.124 0.124 0.376
Al1 Al 0.250 0.250 0.750
Tl1 Tl 0.000 0.000 0.000
```


Stability check: which of them is most stable? <1>.


<1>
Material: LiTm2Al
Method: DFT, PBE-GGA
State: relaxed

For the density, the calculation gives 5.69 g cm⁻³. As for the density of states at the Fermi level: 0.894 states/eV/atom.

Cell and atoms, written as CIF:
```
data_LiTm2Al
_cell_length_a 3.3887
_cell_length_b 3.3887
_cell_length_c 32.7541
_cell_angle_alpha 90.00
_cell_angle_beta 90.00
_cell_angle_gamma 120.00
_space_group_name_H-M_alt 'R -3 m'
_space_group_IT_number 166
_space_group_name_Hall '-R 3 2"'
loop_
_atom_site_label
_atom_site_type_symbol
_atom_site_fract_x
_atom_site_fract_y
_atom_site_fract_z
Li1 Li 0.0000 0.0000 0.0000
Tm1 Tm 0.0000 0.0000 0.0972
Al1 Al 0.0000 0.0000 0.5000
```


<2>
Material: LiTm2Al
Method: DFT, PBE-GGA
State: relaxed

For the density, the calculation gives 6.65 g cm⁻³. As for the density of states at the Fermi level: 0.869 states/eV/atom.

Cell and atoms, written as CIF:
```
data_LiTm2Al
_cell_length_a 7.186
_cell_length_b 7.186
_cell_length_c 7.186
_cell_angle_alpha 90.00
_cell_angle_beta 90.00
_cell_angle_gamma 90.00
_space_group_name_H-M_alt 'F m -3 m'
_space_group_IT_number 225
_space_group_name_Hall '-F 4 2 3'
loop_
_atom_site_label
_atom_site_type_symbol
_atom_site_fract_x
_atom_site_fract_y
_atom_site_fract_z
Li1 Li 0.000 0.000 0.000
Tm1 Tm 0.250 0.250 0.250
Al1 Al 0.000 0.000 0.500
```


<3>
Material: LiTm2Al
Method: DFT, PBE-GGA
State: relaxed

For the density, the calculation gives 6.64 g cm⁻³. As for the density of states at the Fermi level: 0.914 states/eV/atom.

Cell and atoms, written as CIF:
```
data_LiTm2Al
_cell_length_a 5.040
_cell_length_b 5.040
_cell_length_c 3.663
_cell_angle_alpha 90.00
_cell_angle_beta 90.00
_cell_angle_gamma 90.00
_space_group_name_H-M_alt 'P 4/m m m'
_space_group_IT_number 123
_space_group_name_Hall '-P 4 2'
loop_
_atom_site_label
_atom_site_type_symbol
_atom_site_fract_x
_atom_site_fract_y
_atom_site_fract_z
Li1 Li 0.000 0.000 0.000
Tm1 Tm 0.000 0.500 0.500
Al1 Al 0.500 0.500 0.000
```


Stability check: which of them is most stable? <2>.


<1>
Material: LiAlW
Method: DFT, PBE-GGA
State: relaxed

For the density, the calculation gives 7.84 g cm⁻³. As for the density of states at the Fermi level: 0.202 states/eV/atom.

Cell and atoms, written as CIF:
```
data_LiAlW
_cell_length_a 4.4132
_cell_length_b 4.4132
_cell_length_c 5.4704
_cell_angle_alpha 90.00
_cell_angle_beta 90.00
_cell_angle_gamma 120.00
_space_group_name_H-M_alt 'P 3 m 1'
_space_group_IT_number 156
_space_group_name_Hall 'P 3 -2"'
loop_
_atom_site_label
_atom_site_type_symbol
_atom_site_fract_x
_atom_site_fract_y
_atom_site_fract_z
Li1 Li 0.0000 0.0000 0.0000
Li2 Li 0.3333 0.6667 0.6773
Al1 Al 0.3333 0.6667 0.2097
Al2 Al 0.6667 0.3333 0.8231
W1 W 0.0000 0.0000 0.4773
W2 W 0.6667 0.3333 0.3414
```


<2>
Material: LiAlW
Method: DFT, PBE-GGA
State: relaxed

For the density, the calculation gives 7.77 g cm⁻³. As for the density of states at the Fermi level: 0.276 states/eV/atom.

Cell and atoms, written as CIF:
```
data_LiAlW
_cell_length_a 2.721
_cell_length_b 5.370
_cell_length_c 6.699
_cell_angle_alpha 100.19
_cell_angle_beta 94.11
_cell_angle_gamma 103.37
_space_group_name_H-M_alt 'P -1'
_space_group_IT_number 2
_space_group_name_Hall '-P 1'
loop_
_atom_site_label
_atom_site_type_symbol
_atom_site_fract_x
_atom_site_fract_y
_atom_site_fract_z
Li1 Li 0.241 0.102 0.352
Al1 Al 0.049 0.556 0.308
W1 W 0.451 0.233 0.984
```


<3>
Material: LiAlW
Method: DFT, PBE-GGA
State: relaxed

For the density, the calculation gives 7.69 g cm⁻³. As for the density of states at the Fermi level: 0.251 states/eV/atom.

Cell and atoms, written as CIF:
```
data_LiAlW
_cell_length_a 3.311
_cell_length_b 4.226
_cell_length_c 13.447
_cell_angle_alpha 90.00
_cell_angle_beta 90.00
_cell_angle_gamma 90.00
_space_group_name_H-M_alt 'F m m 2'
_space_group_IT_number 42
_space_group_name_Hall 'F 2 -2'
loop_
_atom_site_label
_atom_site_type_symbol
_atom_site_fract_x
_atom_site_fract_y
_atom_site_fract_z
Li1 Li 0.000 0.000 0.000
Al1 Al 0.000 0.000 0.333
W1 W 0.000 0.000 0.674
```


<4>
Material: LiAlW
Method: DFT, PBE-GGA
State: relaxed

For the density, the calculation gives 7.70 g cm⁻³. As for the density of states at the Fermi level: 0.265 states/eV/atom.

Cell and atoms, written as CIF:
```
data_LiAlW
_cell_length_a 2.731
_cell_length_b 4.385
_cell_length_c 7.852
_cell_angle_alpha 90.00
_cell_angle_beta 92.27
_cell_angle_gamma 90.00
_space_group_name_H-M_alt 'P 1 21/m 1'
_space_group_IT_number 11
_space_group_name_Hall '-P 2yb'
loop_
_atom_site_label
_atom_site_type_symbol
_atom_site_fract_x
_atom_site_fract_y
_atom_site_fract_z
Li1 Li 0.200 0.250 0.074
Al1 Al 0.414 0.750 0.259
W1 W 0.134 0.750 0.583
```


Stability check: which of them is most stable? <4>.


<1>
Material: LiY3Al
Method: DFT, PBE-GGA
State: relaxed

For the density, the calculation gives 2.83 g cm⁻³. As for the density of states at the Fermi level: 1.948 states/eV/atom.

Cell and atoms, written as CIF:
```
data_LiY3Al
_cell_length_a 5.608
_cell_length_b 5.608
_cell_length_c 5.608
_cell_angle_alpha 90.00
_cell_angle_beta 90.00
_cell_angle_gamma 90.00
_space_group_name_H-M_alt 'P m -3 m'
_space_group_IT_number 221
_space_group_name_Hall '-P 4 2 3'
loop_
_atom_site_label
_atom_site_type_symbol
_atom_site_fract_x
_atom_site_fract_y
_atom_site_fract_z
Li1 Li 0.000 0.000 0.000
Y1 Y 0.000 0.500 0.500
Al1 Al 0.500 0.500 0.500
```


<2>
Material: LiY3Al
Method: DFT, PBE-GGA
State: relaxed

For the density, the calculation gives 3.81 g cm⁻³. As for the density of states at the Fermi level: 1.045 states/eV/atom.

Cell and atoms, written as CIF:
```
data_LiY3Al
_cell_length_a 5.097
_cell_length_b 20.161
_cell_length_c 5.096
_cell_angle_alpha 90.00
_cell_angle_beta 90.00
_cell_angle_gamma 90.00
_space_group_name_H-M_alt 'C m c m'
_space_group_IT_number 63
_space_group_name_Hall '-C 2c 2'
loop_
_atom_site_label
_atom_site_type_symbol
_atom_site_fract_x
_atom_site_fract_y
_atom_site_fract_z
Li1 Li 0.000 0.159 0.250
Y1 Y 0.000 0.064 0.750
Y2 Y 0.000 0.250 0.750
Y3 Y 0.000 0.435 0.750
Al1 Al 0.000 0.340 0.250
```


Stability check: which of them is most stable? <2>.


<1>
Material: LiY3Al2
Method: DFT, PBE-GGA
State: relaxed

For the density, the calculation gives 3.74 g cm⁻³. As for the density of states at the Fermi level: 0.419 states/eV/atom.

Cell and atoms, written as CIF:
```
data_LiY3Al2
_cell_length_a 3.589
_cell_length_b 3.589
_cell_length_c 11.291
_cell_angle_alpha 90.00
_cell_angle_beta 90.00
_cell_angle_gamma 90.00
_space_group_name_H-M_alt 'P 4/m m m'
_space_group_IT_number 123
_space_group_name_Hall '-P 4 2'
loop_
_atom_site_label
_atom_site_type_symbol
_atom_site_fract_x
_atom_site_fract_y
_atom_site_fract_z
Li1 Li 0.000 0.000 0.000
Y1 Y 0.500 0.500 0.180
Y2 Y 0.500 0.500 0.500
Al1 Al 0.000 0.000 0.335
```


<2>
Material: LiY3Al2
Method: DFT, PBE-GGA
State: relaxed

For the density, the calculation gives 3.77 g cm⁻³. As for the density of states at the Fermi level: 0.744 states/eV/atom.

Cell and atoms, written as CIF:
```
data_LiY3Al2
_cell_length_a 5.1376
_cell_length_b 5.1376
_cell_length_c 12.6220
_cell_angle_alpha 90.00
_cell_angle_beta 90.00
_cell_angle_gamma 120.00
_space_group_name_H-M_alt 'P -3 m 1'
_space_group_IT_number 164
_space_group_name_Hall '-P 3 2"'
loop_
_atom_site_label
_atom_site_type_symbol
_atom_site_fract_x
_atom_site_fract_y
_atom_site_fract_z
Li1 Li 0.3333 0.6667 0.1700
Y1 Y 0.0000 0.0000 0.2536
Y2 Y 0.3333 0.6667 0.4179
Y3 Y 0.3333 0.6667 0.9157
Al1 Al 0.0000 0.0000 0.0000
Al2 Al 0.0000 0.0000 0.5000
Al3 Al 0.3333 0.6667 0.6727
```


Stability check: which of them is most stable? <2>.


<1>
Material: LiAlZn4
Method: DFT, PBE-GGA
State: relaxed

For the density, the calculation gives 5.27 g cm⁻³. As for the density of states at the Fermi level: 0.223 states/eV/atom.

Cell and atoms, written as CIF:
```
data_LiAlZn4
_cell_length_a 4.525
_cell_length_b 5.003
_cell_length_c 5.119
_cell_angle_alpha 93.93
_cell_angle_beta 112.04
_cell_angle_gamma 115.53
_space_group_name_H-M_alt 'P -1'
_space_group_IT_number 2
_space_group_name_Hall '-P 1'
loop_
_atom_site_label
_atom_site_type_symbol
_atom_site_fract_x
_atom_site_fract_y
_atom_site_fract_z
Li1 Li 0.000 0.000 0.000
Al1 Al 0.500 0.500 0.500
Zn1 Zn 0.229 0.902 0.562
Zn2 Zn 0.271 0.600 0.939
```


<2>
Material: LiAlZn4
Method: DFT, PBE-GGA
State: relaxed

For the density, the calculation gives 5.42 g cm⁻³. As for the density of states at the Fermi level: 0.215 states/eV/atom.

Cell and atoms, written as CIF:
```
data_LiAlZn4
_cell_length_a 8.890
_cell_length_b 3.859
_cell_length_c 5.558
_cell_angle_alpha 90.00
_cell_angle_beta 108.34
_cell_angle_gamma 90.00
_space_group_name_H-M_alt 'C 1 2/m 1'
_space_group_IT_number 12
_space_group_name_Hall '-C 2y'
loop_
_atom_site_label
_atom_site_type_symbol
_atom_site_fract_x
_atom_site_fract_y
_atom_site_fract_z
Li1 Li 0.000 0.000 0.000
Al1 Al 0.000 0.000 0.500
Zn1 Zn 0.163 0.500 0.836
Zn2 Zn 0.168 0.500 0.330
```


<3>
Material: LiAlZn4
Method: DFT, PBE-GGA
State: relaxed

For the density, the calculation gives 5.20 g cm⁻³. As for the density of states at the Fermi level: 0.293 states/eV/atom.

Cell and atoms, written as CIF:
```
data_LiAlZn4
_cell_length_a 7.227
_cell_length_b 7.227
_cell_length_c 7.227
_cell_angle_alpha 90.00
_cell_angle_beta 90.00
_cell_angle_gamma 90.00
_space_group_name_H-M_alt 'F -4 3 m'
_space_group_IT_number 216
_space_group_name_Hall 'F -4 2 3'
loop_
_atom_site_label
_atom_site_type_symbol
_atom_site_fract_x
_atom_site_fract_y
_atom_site_fract_z
Li1 Li 0.000 0.000 0.000
Al1 Al 0.250 0.250 0.750
Zn1 Zn 0.126 0.126 0.374
```


Stability check: which of them is most stable? <2>.


<1>
Material: LiAl2Zn3
Method: DFT, PBE-GGA
State: relaxed

For the density, the calculation gives 4.34 g cm⁻³. As for the density of states at the Fermi level: 0.290 states/eV/atom.

Cell and atoms, written as CIF:
```
data_LiAl2Zn3
_cell_length_a 7.974
_cell_length_b 9.349
_cell_length_c 5.284
_cell_angle_alpha 90.00
_cell_angle_beta 90.00
_cell_angle_gamma 90.00
_space_group_name_H-M_alt 'C m c m'
_space_group_IT_number 63
_space_group_name_Hall '-C 2c 2'
loop_
_atom_site_label
_atom_site_type_symbol
_atom_site_fract_x
_atom_site_fract_y
_atom_site_fract_z
Li1 Li 0.000 0.224 0.250
Al1 Al 0.192 0.000 0.000
Zn1 Zn 0.000 0.482 0.750
Zn2 Zn 0.171 0.250 0.750
```


<2>
Material: LiAl2Zn3
Method: DFT, PBE-GGA
State: relaxed

For the density, the calculation gives 4.52 g cm⁻³. As for the density of states at the Fermi level: 0.272 states/eV/atom.

Cell and atoms, written as CIF:
```
data_LiAl2Zn3
_cell_length_a 8.126
_cell_length_b 5.238
_cell_length_c 8.884
_cell_angle_alpha 90.00
_cell_angle_beta 90.00
_cell_angle_gamma 90.00
_space_group_name_H-M_alt 'C m c m'
_space_group_IT_number 63
_space_group_name_Hall '-C 2c 2'
loop_
_atom_site_label
_atom_site_type_symbol
_atom_site_fract_x
_atom_site_fract_y
_atom_site_fract_z
Li1 Li 0.000 0.152 0.250
Al1 Al 0.168 0.348 0.750
Zn1 Zn 0.000 0.500 0.000
Zn2 Zn 0.166 0.000 0.000
```


Stability check: which of them is most stable? <2>.


<1>
Material: LiAlZn6
Method: DFT, PBE-GGA
State: relaxed

For the density, the calculation gives 5.00 g cm⁻³. As for the density of states at the Fermi level: 0.398 states/eV/atom.

Cell and atoms, written as CIF:
```
data_LiAlZn6
_cell_length_a 6.9600
_cell_length_b 6.9600
_cell_length_c 10.1254
_cell_angle_alpha 90.00
_cell_angle_beta 90.00
_cell_angle_gamma 120.00
_space_group_name_H-M_alt 'R -3 m'
_space_group_IT_number 166
_space_group_name_Hall '-R 3 2"'
loop_
_atom_site_label
_atom_site_type_symbol
_atom_site_fract_x
_atom_site_fract_y
_atom_site_fract_z
Li1 Li 0.0000 0.0000 0.0000
Al1 Al 0.0000 0.0000 0.5000
Zn1 Zn 0.0889 0.5445 0.8862
```


<2>
Material: LiAlZn6
Method: DFT, PBE-GGA
State: relaxed

For the density, the calculation gives 5.89 g cm⁻³. As for the density of states at the Fermi level: 0.257 states/eV/atom.

Cell and atoms, written as CIF:
```
data_LiAlZn6
_cell_length_a 4.498
_cell_length_b 5.784
_cell_length_c 9.245
_cell_angle_alpha 90.00
_cell_angle_beta 90.00
_cell_angle_gamma 90.00
_space_group_name_H-M_alt 'A m m 2'
_space_group_IT_number 38
_space_group_name_Hall 'A 2 -2'
loop_
_atom_site_label
_atom_site_type_symbol
_atom_site_fract_x
_atom_site_fract_y
_atom_site_fract_z
Li1 Li 0.000 0.000 0.000
Al1 Al 0.500 0.000 0.679
Zn1 Zn 0.000 0.000 0.508
Zn2 Zn 0.000 0.239 0.255
Zn3 Zn 0.500 0.000 0.169
Zn4 Zn 0.500 0.250 0.426
```


Stability check: which of them is most stable? <2>.